The following is a PBE calculation of a relaxed Cs2YMoPt crystal, from Alexandria.

Cell and atoms, written as POSCAR:
```
Cs2YMoPt
1.0
-1.376 2.770 4.768
-5.419 0.228 -1.696
-0.963 -4.690 2.447
Cs Y Mo Pt
2 1 1 1
Direct
0.000 0.500 0.000
0.500 0.000 0.000
0.000 0.000 0.500
0.000 0.000 0.000
0.500 0.500 0.500
```

## Properties
- DFT total energy: -3.6438 eV/atom
- Calculated volume: 34.73 A^3/atom
- Crystal system: tetragonal
- ΔH_f (0 K): 6.8 eV per formula unit

=====

The following is a PBE calculation of a relaxed Cs3RbMo crystal, from Alexandria.

Cell and atoms, written as POSCAR:
```
Cs3RbMo
1.0
8.297 0.000 0.000
0.000 8.297 0.000
0.000 0.000 8.297
Cs Mo Rb
3 1 1
Direct
0.000 0.500 0.000
0.000 0.000 0.500
0.500 0.000 0.000
0.500 0.500 0.500
0.000 0.000 0.000
```

## Properties
- DFT total energy: -1.5561 eV/atom
- Calculated volume: 114.23 A^3/atom
- Crystal system: cubic
- ΔH_f (0 K): 6.6 eV per formula unit

=====

The following is a PBE calculation of a relaxed CsRbMo3 crystal, from Alexandria.

Cell and atoms, written as POSCAR:
```
CsRbMo3
1.0
-0.260 -4.279 -3.146
1.441 -3.089 4.082
-5.112 -0.653 1.310
Cs Mo Rb
1 3 1
Direct
0.500 0.500 0.500
0.000 0.500 0.000
0.000 0.000 0.500
0.500 0.000 0.000
0.000 0.000 0.000
```

## Properties
- DFT total energy: -3.3412 eV/atom
- Calculated volume: 30.08 A^3/atom
- Crystal system: cubic
- ΔH_f (0 K): 17.6 eV per formula unit

=====

The following is a PBE calculation of a relaxed CsRbMo2 crystal, from Alexandria.

Cell and atoms, written as POSCAR:
```
CsRbMo2
1.0
-2.503 -2.182 5.523
-5.033 -4.024 -0.111
0.775 -6.176 1.671
Cs Mo Rb
1 2 1
Direct
0.500 0.500 0.500
0.250 0.250 0.250
0.750 0.750 0.750
0.000 0.000 0.000
```

## Properties
- DFT total energy: -3.4897 eV/atom
- Calculated volume: 47.31 A^3/atom
- Crystal system: cubic
- ΔH_f (0 K): 9.5 eV per formula unit

=====

The following is a PBE calculation of a relaxed CsRbMo3 crystal, from Alexandria.

Cell and atoms, written as POSCAR:
```
CsRbMo3
1.0
5.145 0.000 0.000
0.000 5.145 0.000
0.000 0.000 5.145
Cs Mo Rb
1 3 1
Direct
0.000 0.000 0.000
0.000 0.500 0.000
0.000 0.000 0.500
0.500 0.000 0.000
0.500 0.500 0.500
```

## Properties
- DFT total energy: -3.6400 eV/atom
- Calculated volume: 27.24 A^3/atom
- Crystal system: cubic
- ΔH_f (0 K): 16.1 eV per formula unit

=====

The following is a PBE calculation of a relaxed CsRbMoS4 crystal, from Alexandria.

Cell and atoms, written as POSCAR:
```
CsRbMoS4
1.0
-3.043 -5.418 -3.202
-1.646 -2.860 6.405
-6.901 7.475 1.565
Cs Rb Mo S
2 2 2 8
Direct
0.655 0.750 0.903
0.345 0.250 0.097
0.792 0.750 0.483
0.208 0.250 0.517
0.173 0.750 0.281
0.827 0.250 0.719
0.021 0.497 0.783
0.979 0.997 0.217
0.979 0.503 0.217
0.021 0.003 0.783
0.406 0.750 0.179
0.594 0.250 0.821
0.318 0.750 0.508
0.682 0.250 0.492
```

## Properties
- DFT total energy: -5.1499 eV/atom
- Calculated volume: 34.81 A^3/atom
- ΔE_f (raw): -0.98 eV/atom
- Crystal system: monoclinic

=====

The following is a PBE calculation of a relaxed CsRbMoSe4 crystal, from Alexandria.

Cell and atoms, written as POSCAR:
```
CsRbMoSe4
1.0
7.127 0.000 -0.337
0.000 7.422 0.000
-3.204 0.000 10.164
Cs Rb Mo Se
2 2 2 8
Direct
0.654 0.750 0.897
0.346 0.250 0.103
0.791 0.750 0.481
0.209 0.250 0.519
0.164 0.750 0.279
0.836 0.250 0.721
0.040 0.503 0.787
0.960 0.003 0.213
0.960 0.497 0.213
0.040 0.997 0.787
0.402 0.750 0.173
0.598 0.250 0.827
0.317 0.750 0.512
0.683 0.250 0.488
```

## Properties
- DFT total energy: -4.6636 eV/atom
- Calculated volume: 37.83 A^3/atom
- ΔE_f (raw): -0.86 eV/atom
- Crystal system: monoclinic

=====

The following is a PBE calculation of a relaxed Cs2RbMoSe4 crystal, from Alexandria.

Cell and atoms, written as POSCAR:
```
Cs2RbMoSe4
1.0
-2.466 -6.014 4.237
4.313 -6.727 0.066
5.857 1.644 12.846
Cs Rb Mo Se
4 2 2 8
Direct
0.188 0.000 0.624
0.812 0.000 0.376
0.562 0.500 0.876
0.938 0.500 0.124
0.750 0.500 0.500
0.000 0.000 0.000
0.250 0.500 0.500
0.500 0.000 0.000
0.384 0.795 0.103
0.282 0.205 0.897
0.821 0.795 0.897
0.513 0.205 0.103
0.366 0.705 0.397
0.468 0.295 0.603
0.929 0.705 0.603
0.237 0.295 0.397
```

## Properties
- DFT total energy: -4.2033 eV/atom
- Calculated volume: 46.33 A^3/atom
- ΔE_f (raw): -0.77 eV/atom
- Crystal system: orthorhombic

=====

The following is a PBE calculation of a relaxed Cs2RbTcMo crystal, from Alexandria.

Cell and atoms, written as POSCAR:
```
Cs2RbTcMo
1.0
7.292 0.000 0.000
0.000 5.848 0.000
0.000 0.000 7.292
Cs Mo Tc Rb
2 1 1 1
Direct
0.000 0.000 0.500
0.500 0.000 0.000
0.500 0.500 0.500
0.000 0.500 0.000
0.000 0.000 0.000
```

## Properties
- DFT total energy: -2.5357 eV/atom
- Calculated volume: 62.19 A^3/atom
- Crystal system: tetragonal
- ΔH_f (0 K): 11.2 eV per formula unit

=====

The following is a PBE calculation of a relaxed CsRbTl2Mo crystal, from Alexandria.

Cell and atoms, written as POSCAR:
```
CsRbTl2Mo
1.0
-1.332 5.696 -3.139
1.509 -2.746 -5.623
-6.315 -1.900 -0.768
Cs Tl Mo Rb
1 2 1 1
Direct
0.000 0.000 0.000
0.000 0.000 0.500
0.500 0.000 0.000
0.000 0.500 0.000
0.500 0.500 0.500
```

## Properties
- DFT total energy: -2.0800 eV/atom
- Calculated volume: 56.74 A^3/atom
- Crystal system: tetragonal
- ΔH_f (0 K): 7.0 eV per formula unit

=====

The following is a PBE calculation of a relaxed Cs3ReMo crystal, from Alexandria.

Cell and atoms, written as POSCAR:
```
Cs3ReMo
1.0
-2.026 4.746 3.371
-5.819 -1.765 -1.012
0.186 -3.515 5.060
Cs Re Mo
3 1 1
Direct
0.000 0.500 0.000
0.000 0.000 0.500
0.500 0.000 0.000
0.000 0.000 0.000
0.500 0.500 0.500
```

## Properties
- DFT total energy: -2.8599 eV/atom
- Calculated volume: 46.84 A^3/atom
- Crystal system: cubic
- ΔH_f (0 K): 11.5 eV per formula unit

=====

The following is a PBE calculation of a relaxed CsRe3Mo crystal, from Alexandria.

Cell and atoms, written as POSCAR:
```
CsRe3Mo
1.0
4.795 0.000 0.000
0.000 4.795 0.000
0.000 0.000 4.795
Cs Re Mo
1 3 1
Direct
0.000 0.000 0.000
0.000 0.500 0.000
0.000 0.000 0.500
0.500 0.000 0.000
0.500 0.500 0.500
```

## Properties
- DFT total energy: -5.5429 eV/atom
- Calculated volume: 22.05 A^3/atom
- Crystal system: cubic
- ΔH_f (0 K): 21.3 eV per formula unit

=====

The following is a PBE calculation of a relaxed Cs2ReMo2 crystal, from Alexandria.

Cell and atoms, written as POSCAR:
```
Cs2ReMo2
1.0
-3.833 0.308 -5.195
3.342 -4.799 -2.751
-4.119 -4.460 2.775
Cs Re Mo
4 2 4
Direct
0.193 0.693 0.500
0.693 0.807 0.500
0.807 0.307 0.500
0.307 0.193 0.500
0.000 0.000 0.000
0.500 0.500 0.000
0.367 0.867 0.000
0.867 0.633 0.000
0.633 0.133 0.000
0.133 0.367 0.000
```

## Properties
- DFT total energy: -5.7981 eV/atom
- Calculated volume: 27.88 A^3/atom
- Crystal system: tetragonal
- ΔH_f (0 K): 6.8 eV per formula unit

=====

The following is a PBE calculation of a relaxed CsRe3Mo crystal, from Alexandria.

Cell and atoms, written as POSCAR:
```
CsRe3Mo
1.0
-2.078 4.388 -0.845
-4.399 -1.845 1.240
0.787 1.277 4.695
Cs Re Mo
1 3 1
Direct
0.500 0.500 0.500
0.000 0.500 0.000
0.000 0.000 0.500
0.500 0.000 0.000
0.000 0.000 0.000
```

## Properties
- DFT total energy: -7.4288 eV/atom
- Calculated volume: 23.94 A^3/atom
- Crystal system: cubic
- ΔH_f (0 K): 11.9 eV per formula unit

=====

The following is a PBE calculation of a relaxed CsMoRh3 crystal, from Alexandria.

Cell and atoms, written as POSCAR:
```
CsMoRh3
1.0
4.861 0.000 0.000
0.000 4.861 0.000
0.000 0.000 4.861
Cs Mo Rh
1 1 3
Direct
0.500 0.500 0.500
0.000 0.000 0.000
0.000 0.500 0.000
0.000 0.000 0.500
0.500 0.000 0.000
```

## Properties
- DFT total energy: -5.8185 eV/atom
- Calculated volume: 22.97 A^3/atom
- Crystal system: cubic
- ΔH_f (0 K): 4.6 eV per formula unit

=====

The following is a PBE calculation of a relaxed CsMo2Rh crystal, from Alexandria.

Cell and atoms, written as POSCAR:
```
CsMo2Rh
1.0
0.000 3.301 3.301
3.301 0.000 3.301
3.301 3.301 0.000
Cs Mo Rh
1 2 1
Direct
0.500 0.500 0.500
0.250 0.250 0.250
0.750 0.750 0.750
0.000 0.000 0.000
```

## Properties
- DFT total energy: -5.8642 eV/atom
- Calculated volume: 17.98 A^3/atom
- Crystal system: cubic
- ΔH_f (0 K): 6.4 eV per formula unit

=====

The following is a PBE calculation of a relaxed CsMo2Rh crystal, from Alexandria.

Cell and atoms, written as POSCAR:
```
CsMo2Rh
1.0
5.046 0.000 0.000
0.000 5.046 0.000
2.523 2.523 8.822
Cs Mo Rh
2 4 2
Direct
0.000 0.000 0.000
0.750 0.250 0.500
0.402 0.125 0.250
0.348 0.625 0.250
0.375 0.598 0.750
0.875 0.652 0.750
0.500 0.500 0.000
0.250 0.750 0.500
```

## Properties
- DFT total energy: -5.8271 eV/atom
- Calculated volume: 28.08 A^3/atom
- Crystal system: tetragonal
- ΔH_f (0 K): 6.6 eV per formula unit

=====

The following is a PBE calculation of a relaxed Cs3MoRh crystal, from Alexandria.

Cell and atoms, written as POSCAR:
```
Cs3MoRh
1.0
-3.827 4.485 2.060
-3.859 -4.344 2.290
3.077 0.130 5.433
Cs Mo Rh
3 1 1
Direct
0.000 0.500 0.000
0.000 0.000 0.500
0.500 0.000 0.000
0.500 0.500 0.500
0.000 0.000 0.000
```

## Properties
- DFT total energy: -2.8067 eV/atom
- Calculated volume: 48.71 A^3/atom
- Crystal system: cubic
- ΔH_f (0 K): 6.7 eV per formula unit

=====

The following is a PBE calculation of a relaxed CsMo3Rh crystal, from Alexandria.

Cell and atoms, written as POSCAR:
```
CsMo3Rh
1.0
4.953 0.000 0.000
0.000 4.953 0.000
0.000 0.000 4.953
Cs Mo Rh
1 3 1
Direct
0.500 0.500 0.500
0.000 0.500 0.000
0.000 0.000 0.500
0.500 0.000 0.000
0.000 0.000 0.000
```

## Properties
- DFT total energy: -6.2141 eV/atom
- Calculated volume: 24.30 A^3/atom
- Crystal system: cubic
- ΔH_f (0 K): 9.6 eV per formula unit

=====

The following is a PBE calculation of a relaxed CsMoRh2 crystal, from Alexandria.

Cell and atoms, written as POSCAR:
```
CsMoRh2
1.0
7.413 0.000 0.000
0.000 7.413 0.000
3.707 3.707 3.882
Cs Mo Rh
2 2 4
Direct
0.000 0.000 0.000
0.750 0.250 0.500
0.500 0.500 0.000
0.250 0.750 0.500
0.533 0.125 0.250
0.217 0.625 0.250
0.375 0.467 0.750
0.875 0.783 0.750
```

## Properties
- DFT total energy: -5.5838 eV/atom
- Calculated volume: 26.66 A^3/atom
- Crystal system: tetragonal
- ΔH_f (0 K): 4.1 eV per formula unit

=====

The following is a PBE calculation of a relaxed CsMo3Rh crystal, from Alexandria.

Cell and atoms, written as POSCAR:
```
CsMo3Rh
1.0
4.832 0.000 0.000
0.000 4.832 0.000
0.000 0.000 4.832
Cs Mo Rh
1 3 1
Direct
0.000 0.000 0.000
0.000 0.500 0.000
0.000 0.000 0.500
0.500 0.000 0.000
0.500 0.500 0.500
```

## Properties
- DFT total energy: -4.8092 eV/atom
- Calculated volume: 22.57 A^3/atom
- Crystal system: cubic
- ΔH_f (0 K): 16.7 eV per formula unit

=====

The following is a PBE calculation of a relaxed CsMoRh3 crystal, from Alexandria.

Cell and atoms, written as POSCAR:
```
CsMoRh3
1.0
4.843 0.000 0.000
0.000 4.843 0.000
0.000 0.000 4.843
Cs Mo Rh
1 1 3
Direct
0.000 0.000 0.000
0.500 0.500 0.500
0.000 0.500 0.000
0.000 0.000 0.500
0.500 0.000 0.000
```

## Properties
- DFT total energy: -4.0642 eV/atom
- Calculated volume: 22.72 A^3/atom
- Crystal system: cubic
- ΔH_f (0 K): 13.4 eV per formula unit

=====

The following is a PBE calculation of a relaxed Cs2MoRuRh crystal, from Alexandria.

Cell and atoms, written as POSCAR:
```
Cs2MoRuRh
1.0
-3.664 0.736 -4.685
3.443 -1.419 -2.915
-1.859 -5.669 0.563
Cs Ru Mo Rh
2 1 1 1
Direct
0.000 0.000 0.500
0.500 0.000 0.000
0.500 0.500 0.500
0.000 0.500 0.000
0.000 0.000 0.000
```

## Properties
- DFT total energy: -3.8163 eV/atom
- Calculated volume: 33.97 A^3/atom
- Crystal system: tetragonal
- ΔH_f (0 K): 10.1 eV per formula unit

=====

The following is a PBE calculation of a relaxed CsMo2RhS8 crystal, from Alexandria.

Cell and atoms, written as POSCAR:
```
CsMo2RhS8
1.0
6.212 0.000 0.000
3.106 5.380 0.000
3.106 1.793 9.533
Cs Mo Rh S
1 2 1 8
Direct
0.500 0.500 0.500
0.262 0.262 0.213
0.738 0.738 0.787
0.000 0.000 0.000
0.186 0.186 0.441
0.639 0.260 0.148
0.814 0.814 0.559
0.952 0.639 0.148
0.048 0.361 0.852
0.260 0.952 0.148
0.740 0.048 0.852
0.361 0.740 0.852
```

## Properties
- DFT total energy: -5.7256 eV/atom
- Calculated volume: 26.55 A^3/atom
- ΔE_f (raw): -0.49 eV/atom
- Crystal system: trigonal

=====

The following is a PBE calculation of a relaxed CsMoRu3 crystal, from Alexandria.

Cell and atoms, written as POSCAR:
```
CsMoRu3
1.0
4.782 0.000 0.000
0.000 4.782 0.000
0.000 0.000 4.782
Cs Ru Mo
1 3 1
Direct
0.000 0.000 0.000
0.000 0.500 0.000
0.000 0.000 0.500
0.500 0.000 0.000
0.500 0.500 0.500
```

## Properties
- DFT total energy: -4.6089 eV/atom
- Calculated volume: 21.87 A^3/atom
- Crystal system: cubic
- ΔH_f (0 K): 16.5 eV per formula unit

=====

The following is a PBE calculation of a relaxed CsMo3Ru crystal, from Alexandria.

Cell and atoms, written as POSCAR:
```
CsMo3Ru
1.0
-3.711 2.803 1.327
-2.950 -3.829 -0.162
0.957 -0.934 4.648
Cs Ru Mo
1 1 3
Direct
0.000 0.000 0.000
0.500 0.500 0.500
0.000 0.500 0.000
0.000 0.000 0.500
0.500 0.000 0.000
```

## Properties
- DFT total energy: -5.0225 eV/atom
- Calculated volume: 22.63 A^3/atom
- Crystal system: cubic
- ΔH_f (0 K): 17.5 eV per formula unit